Compound: Sb2WIF
Source: Alexandria
Functional: PBE+U
Structure: relaxed

Output
uncorrected energy	-3.36	eV/atom
D(E_F)	2.5	states/eV per cell
magnetic moment	0.56	μB/cell

Cell: 5.347 5.347 5.583 Å, 90.00 90.00 90.00°
Sites, in units of the cell vectors:
I  0.000  0.000  0.500
Sb  0.500  0.000  0.000
Sb  0.000  0.500  0.000
F  0.500  0.500  0.500
W  0.000  0.000  0.000